1.
! Nd8Pt3CI3 PBE-GGA optimized geometry; values from VASP
&SYSTEM
  ibrav = 0, nat = 15, ntyp = 4
/
ATOMIC_SPECIES
I 126.90 I.upf
Nd 144.24 Nd.upf
C 12.01 C.upf
Pt 195.08 Pt.upf
CELL_PARAMETERS angstrom
8.4067 0.0000 0.0000
-4.2034 7.2739 -0.0307
0.0000 -4.8199 8.0049
ATOMIC_POSITIONS crystal
I 0.0000 0.5000 0.0000
I 0.5000 0.5000 0.0000
Nd 0.7891 0.0332 0.3218
Nd 0.2707 0.5413 0.3123
C 0.0000 0.0000 0.5000
Nd 0.7888 0.5776 0.3214
I 0.0000 0.0000 0.0000
Nd 0.2109 0.9668 0.6782
Pt 0.0000 0.5000 0.5000
Nd 0.2441 0.0332 0.3218
Nd 0.2112 0.4224 0.6786
Pt 0.5000 0.0000 0.5000
Pt 0.5000 0.5000 0.5000
Nd 0.7559 0.9668 0.6782
Nd 0.7293 0.4587 0.6877
! - formation energy (no corrections) (eV/atom) = -0.833
! - total magnetization (μB/atom) = 0.0000
! - symmetry = C2/m
! - mass density (Mg/m³) = 7.25
! - E_tot (eV/atom) = -5.509


2.
! CePrEuY PBE-GGA optimized geometry; values from VASP
&SYSTEM
  ibrav = 0, nat = 4, ntyp = 4
/
ATOMIC_SPECIES
Pr 140.91 Pr.upf
Eu 151.96 Eu.upf
Y 88.91 Y.upf
Ce 140.12 Ce.upf
CELL_PARAMETERS angstrom
-3.4130 -3.2108 -3.4886
1.9552 -5.0747 -2.1337
-2.2374 -5.0379 1.9343
ATOMIC_POSITIONS crystal
Pr 0.2500 0.2500 0.2500
Eu 0.5000 0.5000 0.5000
Y 0.7500 0.7500 0.7500
Ce 0.0000 0.0000 0.0000
! - calculated formation energy (eV/f.u.) = 0.9
! - total magnetization (μB/atom) = 2.3464
! - symmetry = F-43m
! - mass density (Mg/m³) = 6.15
! - E_tot (eV/atom) = -6.635


3.
! LiIn4Ag PBE-GGA optimized geometry; values from VASP
&SYSTEM
  ibrav = 0, nat = 6, ntyp = 3
/
ATOMIC_SPECIES
In 114.82 In.upf
Ag 107.87 Ag.upf
Li 6.94 Li.upf
CELL_PARAMETERS angstrom
0.0000 4.2703 4.2703
4.2703 0.0000 4.2703
4.2703 4.2703 0.0000
ATOMIC_POSITIONS crystal
In 0.3750 0.3750 0.3750
In 0.8749 0.3750 0.3750
Ag 0.0000 0.0000 0.0000
In 0.3750 0.3750 0.8749
Li 0.7500 0.7500 0.7500
In 0.3750 0.8749 0.3750
! - excess energy over the best structure of this formula in the dataset (eV/f.u.) = 1.43
! - calculated formation energy (eV/f.u.) = 0.8
! - total magnetization (μB/atom) = 0.0000
! - symmetry = F-43m
! - mass density (Mg/m³) = 6.12
! - E_tot (eV/atom) = -2.482


4.
! NaSr2GaAu PBE-GGA optimized geometry; values from VASP
&SYSTEM
  ibrav = 0, nat = 5, ntyp = 4
/
ATOMIC_SPECIES
Na 22.99 Na.upf
Au 196.97 Au.upf
Ga 69.72 Ga.upf
Sr 87.62 Sr.upf
CELL_PARAMETERS angstrom
-2.9473 -5.2599 1.3109
1.8888 -2.3951 -5.3636
4.0363 -1.7164 2.1878
ATOMIC_POSITIONS crystal
Na 0.5000 0.5000 0.5000
Au 0.0000 0.0000 0.0000
Ga 0.0000 0.0000 0.5000
Sr 0.0000 0.5000 0.0000
Sr 0.5000 0.0000 0.0000
! - calculated formation energy (eV/f.u.) = -1.4
! - total magnetization (μB/atom) = 0.0000
! - symmetry = P4/mmm
! - mass density (Mg/m³) = 4.14
! - E_tot (eV/atom) = -2.479


5.
! AlCr2Cd PBE-GGA optimized geometry; values from VASP
&SYSTEM
  ibrav = 0, nat = 8, ntyp = 3
/
ATOMIC_SPECIES
Al 26.98 Al.upf
Cd 112.41 Cd.upf
Cr 52.00 Cr.upf
CELL_PARAMETERS angstrom
7.0081 0.0000 0.0000
0.0000 7.0081 0.0000
3.5040 3.5040 2.5817
ATOMIC_POSITIONS crystal
Al 0.5000 0.5000 0.0000
Cd 0.7500 0.2500 0.5000
Cr 0.8750 0.8558 0.7500
Al 0.2500 0.7500 0.5000
Cr 0.6058 0.1250 0.2500
Cr 0.1442 0.6250 0.2500
Cr 0.3750 0.3942 0.7500
Cd 0.0000 0.0000 0.0000
! - calculated formation energy (eV/f.u.) = 3.7
! - total magnetization (μB/atom) = 0.0000
! - symmetry = I-42d
! - mass density (Mg/m³) = 6.37
! - E_tot (eV/atom) = -5.059


6.
! ZnCd4 PBE-GGA optimized geometry; values from VASP
&SYSTEM
  ibrav = 0, nat = 10, ntyp = 2
/
ATOMIC_SPECIES
Cd 112.41 Cd.upf
Zn 65.41 Zn.upf
CELL_PARAMETERS angstrom
-3.1337 2.4025 -3.2283
-2.5985 -1.2065 5.4480
2.4473 6.7771 2.6681
ATOMIC_POSITIONS crystal
Cd 0.5346 0.7456 0.4053
Zn 0.2500 0.0000 0.9022
Cd 0.0436 0.6901 0.1739
Cd 0.5436 0.6901 0.8261
Cd 0.4564 0.3099 0.1739
Cd 0.9654 0.2544 0.4053
Cd 0.4654 0.2544 0.5947
Cd 0.0346 0.7456 0.5947
Zn 0.7500 0.0000 0.0978
Cd 0.9564 0.3099 0.8261
! - calculated formation energy (eV/f.u.) = 0.4
! - total magnetization (μB/atom) = 0.0000
! - symmetry = P2/c
! - mass density (Mg/m³) = 7.71
! - E_tot (eV/atom) = -0.916


7.
! Fe12Co6N PBE-GGA optimized geometry; values from VASP
&SYSTEM
  ibrav = 0, nat = 19, ntyp = 3
/
ATOMIC_SPECIES
Co 58.93 Co.upf
Fe 55.84 Fe.upf
N 14.01 N.upf
CELL_PARAMETERS angstrom
-3.4063 0.7482 -4.9295
-5.0257 -1.1189 3.1549
-0.6879 5.8740 1.2188
ATOMIC_POSITIONS crystal
Co 0.2515 0.1196 0.7537
Co 0.8804 0.2463 0.7485
Fe 0.1432 0.3842 0.0628
Fe 0.6158 0.9372 0.8568
N 0.0000 0.0000 0.0000
Co 0.7537 0.2515 0.1196
Fe 0.4876 0.5793 0.1830
Fe 0.0628 0.1432 0.3842
Fe 0.1830 0.4876 0.5793
Fe 0.9372 0.8568 0.6158
Fe 0.4207 0.8170 0.5124
Fe 0.8170 0.5124 0.4207
Fe 0.8568 0.6158 0.9372
Fe 0.3842 0.0628 0.1432
Co 0.1196 0.7537 0.2515
Fe 0.5124 0.4207 0.8170
Co 0.2463 0.7485 0.8804
Co 0.7485 0.8804 0.2463
Fe 0.5793 0.1830 0.4876
! - formation energy (no corrections) (eV/atom) = 0.239
! - total magnetization (μB/atom) = 2.1616
! - symmetry = R-3
! - mass density (Mg/m³) = 7.83
! - E_tot (eV/atom) = -7.788


8.
! AcPm2Nd4 PBE-GGA optimized geometry; values from VASP
&SYSTEM
  ibrav = 0, nat = 14, ntyp = 3
/
ATOMIC_SPECIES
Ac 227.00 Ac.upf
Pm 145.00 Pm.upf
Nd 144.24 Nd.upf
CELL_PARAMETERS angstrom
5.9221 0.0000 0.0000
0.0000 9.5151 0.0000
0.0000 0.0000 9.5151
ATOMIC_POSITIONS crystal
Ac 0.5000 0.0000 0.0000
Pm 0.5000 0.3031 0.3031
Pm 0.5000 0.6969 0.6969
Nd 0.5000 0.6284 0.1106
Nd 0.0000 0.6106 0.8716
Ac 0.0000 0.5000 0.5000
Pm 0.0000 0.1969 0.8031
Nd 0.0000 0.3894 0.1284
Nd 0.5000 0.1106 0.6284
Nd 0.0000 0.1284 0.3894
Nd 0.5000 0.8894 0.3716
Pm 0.0000 0.8031 0.1969
Nd 0.0000 0.8716 0.6106
Nd 0.5000 0.3716 0.8894
! - excess energy over the best structure of this formula in the dataset (eV/f.u.) = 0.00
! - calculated formation energy (eV/f.u.) = 1.4
! - total magnetization (μB/atom) = 0.0000
! - symmetry = P4_2/mnm
! - mass density (Mg/m³) = 6.78
! - E_tot (eV/atom) = -4.465